Density functional theory data (PBE-GGA) for crystalline TiFeNi3 at its relaxed geometry.

Calculated values
Total magnetization in μB per atom: 0.56
Space group: Pm-3m, No. 221
Fermi-level density of states in states/eV/atom: 1.649
Calculated volume in A^3/atom: 15.3
ΔE_f in meV per atom: 783
E above lowest polymorph in eV/atom: 0.000

a b c (Å): 4.244 4.244 4.244
angles (deg): 90.00 90.00 90.00
Atoms (fractional coordinates):
1 Ti 0.000 0.000 0.000
2 Fe 0.500 0.500 0.500
3 Ni 0.000 0.500 0.500
4 Ni 0.500 0.000 0.500
5 Ni 0.500 0.500 0.000